[1]
Density functional theory data (PBEsol) for TcHN2O after structural relaxation.

Unit cell a=2.9615 b=2.9615 c=4.0126 alpha=90.00 beta=90.00 gamma=90.00
Space group P4/mmm (No. 123)
Symmetry-distinct sites (fractional):
1 Tc 0.0000 0.0000 0.0000 x1
2 H 0.5000 0.5000 0.5000 x1
3 N 0.0000 0.5000 0.5000 x2
4 O 0.5000 0.5000 0.0000 x1

Results
Fermi-level density of states, states/eV/cell: 3.11
Total DFT energy (no corrections), Ha/atom: -0.2274



[2]
Density functional theory data (PBEsol) for V3H8N2O8 after structural relaxation.

Unit cell a=8.8354 b=8.8354 c=5.5654 alpha=90.00 beta=90.00 gamma=90.00
Space group P4bm (No. 100)
Symmetry-distinct sites (fractional):
1 V 0.0000 0.0000 0.0000 x2
2 V 0.1341 0.3659 0.0152 x4
3 H 0.1035 0.7383 0.6661 x8
4 H 0.1064 0.6064 0.4461 x4
5 H 0.2450 0.7450 0.4582 x4
6 N 0.1727 0.6727 0.5572 x4
7 O 0.0000 0.0000 0.2872 x2
8 O 0.0000 0.5000 0.9083 x2
9 O 0.0780 0.1931 0.9004 x8
10 O 0.1342 0.3658 0.3117 x4

Results
Total DFT energy (no corrections), Ha/atom: -0.2539



Number 1: volume 7.04 A^3/atom. Number 2: volume 10.34 A^3/atom.